*P*
# CaLaCr2 (PBE-GGA, optimized geometry)
# * N(E_F): 14.4 states/eV per cell
# * spin magnetization: 24.7 Bohr magnetons per cell
data_CaLaCr2
_cell_length_a 3.5764
_cell_length_b 3.5764
_cell_length_c 29.7073
_cell_angle_alpha 90.00
_cell_angle_beta 90.00
_cell_angle_gamma 120.00
_space_group_name_H-M_alt 'R -3 m'
_space_group_IT_number 166
_space_group_name_Hall '-R 3 2"'
loop_
_atom_site_label
_atom_site_fract_x
_atom_site_fract_y
_atom_site_fract_z
Ca1 0.0000 0.0000 0.0000
La1 0.0000 0.0000 0.5000
Cr1 0.0000 0.0000 0.2486

***

*Q*
# CaLaCr2 (PBE-GGA, optimized geometry)
# * N(E_F): 5.4 states/eV per cell
# * spin magnetization: 0.1 Bohr magnetons per cell
data_CaLaCr2
_cell_length_a 4.047
_cell_length_b 5.410
_cell_length_c 9.254
_cell_angle_alpha 90.00
_cell_angle_beta 90.00
_cell_angle_gamma 90.00
_space_group_name_H-M_alt 'I m m 2'
_space_group_IT_number 44
loop_
_space_group_symop_operation_xyz
'x,y,z'
'-x,-y,z'
'-x,y,z'
'x,-y,z'
'x+1/2,y+1/2,z+1/2'
'-x+1/2,-y+1/2,z+1/2'
'-x+1/2,y+1/2,z+1/2'
'x+1/2,-y+1/2,z+1/2'
loop_
_atom_site_label
_atom_site_fract_x
_atom_site_fract_y
_atom_site_fract_z
Ca1 0.000 0.000 0.000
La1 0.000 0.500 0.196
Cr1 0.000 0.000 0.419
Cr2 0.000 0.500 0.785

***

*Q* ends up most stable, edging out the next structure by 363 meV per atom.

***

*P*
# Ca3LaCr (PBE-GGA, optimized geometry)
# * N(E_F): 4.5 states/eV per cell
# * spin magnetization: 2.5 Bohr magnetons per cell
data_Ca3LaCr
_cell_length_a 5.749
_cell_length_b 5.749
_cell_length_c 5.749
_cell_angle_alpha 90.00
_cell_angle_beta 90.00
_cell_angle_gamma 90.00
_space_group_name_H-M_alt 'P m -3 m'
_space_group_IT_number 221
_space_group_name_Hall '-P 4 2 3'
loop_
_atom_site_label
_atom_site_fract_x
_atom_site_fract_y
_atom_site_fract_z
Ca1 0.000 0.000 0.500
La1 0.500 0.500 0.500
Cr1 0.000 0.000 0.000

***

*Q*
# Ca3LaCr (PBE-GGA, optimized geometry)
# * N(E_F): 10.2 states/eV per cell
# * spin magnetization: 1.2 Bohr magnetons per cell
data_Ca3LaCr
_cell_length_a 5.724
_cell_length_b 5.724
_cell_length_c 5.724
_cell_angle_alpha 90.00
_cell_angle_beta 90.00
_cell_angle_gamma 90.00
_space_group_name_H-M_alt 'P m -3 m'
_space_group_IT_number 221
_space_group_name_Hall '-P 4 2 3'
loop_
_atom_site_label
_atom_site_fract_x
_atom_site_fract_y
_atom_site_fract_z
Ca1 0.000 0.000 0.500
La1 0.000 0.000 0.000
Cr1 0.500 0.500 0.500

***

*P* ends up most stable, edging out the next structure by 1242 meV per atom.

***

*P*
# Ca2LaCr2 (PBE-GGA, optimized geometry)
# * N(E_F): 18.9 states/eV per cell
# * spin magnetization: 0.0 Bohr magnetons per cell
data_Ca2LaCr2
_cell_length_a 3.299
_cell_length_b 3.299
_cell_length_c 23.952
_cell_angle_alpha 90.00
_cell_angle_beta 90.00
_cell_angle_gamma 90.00
_space_group_name_H-M_alt 'I 4/m m m'
_space_group_IT_number 139
_space_group_name_Hall '-I 4 2'
loop_
_atom_site_label
_atom_site_fract_x
_atom_site_fract_y
_atom_site_fract_z
Ca1 0.000 0.000 0.136
La1 0.000 0.000 0.500
Cr1 0.000 0.500 0.250

***

*Q*
# Ca2LaCr2 (PBE-GGA, optimized geometry)
# * N(E_F): 24.2 states/eV per cell
# * spin magnetization: 0.0 Bohr magnetons per cell
data_Ca2LaCr2
_cell_length_a 8.945
_cell_length_b 8.945
_cell_length_c 3.017
_cell_angle_alpha 90.00
_cell_angle_beta 90.00
_cell_angle_gamma 90.00
_space_group_name_H-M_alt 'P 4/m b m'
_space_group_IT_number 127
_space_group_name_Hall '-P 4 2ab'
loop_
_atom_site_label
_atom_site_fract_x
_atom_site_fract_y
_atom_site_fract_z
Ca1 0.126 0.374 0.000
La1 0.000 0.000 0.000
Cr1 0.173 0.673 0.500

***

*P* ends up most stable, edging out the next structure by 566 meV per atom.